DFT (PBE) results for a relaxed structure of BeC2.

extended XYZ file:
```
6
Lattice="4.023 -1.274 0.000 4.023 1.274 0.000 -0.535 0.000 5.132" Properties=species:S:1:pos:R:3 pbc="T T T"
Be 0.000 0.000 0.000
Be 4.650 0.000 1.534
C 0.907 0.000 3.962
C 1.703 0.000 0.405
C 3.064 0.000 0.649
C 4.887 0.000 3.270
```

Results
energy of formation from the pure elements: 698 meV/atom
total DFT energy (no corrections): -40.16 eV per cell